# 1
First-principles (PBE) data for PmCuPb2 after structural relaxation, as listed in the Alexandria database.

Cell lengths 4.7276, 4.7276, 4.5535 Å; angles 90.00, 90.00, 90.00 degrees
With the nearest neighbours (Å) after each atom.
Space group P4/mmm (No. 123)
Asymmetric unit:
Pm1 0.0000 0.0000 0.0000  8 Pb 3.28, 4 Cu 3.34
Cu1 0.5000 0.5000 0.0000  8 Pb 3.28, 4 Pm 3.34
Pb1 0.0000 0.5000 0.5000  4 Pm 3.28, 4 Cu 3.28, 4 Pb 3.34

Output
ΔE_f: -199 meV per atom
Offset from the most stable computed form: 0.000 eV/atom
Calculated volume: 25.4 Å³/atom
DOS(E_F): 2.13 states/eV/f.u.



# 2
First-principles (PBE) data for MgAs2Au after structural relaxation, as listed in the Alexandria database.

Cell lengths 4.0860, 4.8677, 7.8007 Å; angles 90.00, 90.00, 90.00 degrees
With the nearest neighbours (Å) after each atom.
Space group Cmmm (No. 65)
Asymmetric unit:
Mg1 0.0000 0.0000 0.0000  8 As 2.83-3.12
As1 0.0000 0.5000 0.2505  4 Au 2.82-3.12, 4 Mg 2.83-3.12
Au1 0.0000 0.0000 0.5000  8 As 2.82-3.12

Output
ΔE_f: 67 meV per atom
Calculated volume: 19.4 Å³/atom
DOS(E_F): 1.67 states/eV/f.u.



# 3
First-principles (PBE) data for CaBeBO2 after structural relaxation, as listed in the Alexandria database.

Cell lengths 4.1711, 4.1711, 5.7996 Å; angles 90.00, 90.00, 90.00 degrees
With the nearest neighbours (Å) after each atom.
Space group P4/mmm (No. 123)
Asymmetric unit:
Ca1 0.0000 0.0000 0.0000  4 O 2.09
Be1 0.0000 0.0000 0.5000  2 Ca 2.90, 4 B 2.95
B1 0.5000 0.5000 0.5000  4 Be 2.95
O1 0.0000 0.5000 0.0000  2 Ca 2.09

Output
E_form (uncorrected): 1.051 eV per atom
Calculated volume: 20.2 Å³/atom
DOS(E_F): 7.68 states/eV/f.u.



# 4
First-principles (PBE) data for AgSbPCl2 after structural relaxation, as listed in the Alexandria database.

Cell lengths 5.2145, 5.2145, 5.3543 Å; angles 90.00, 90.00, 90.00 degrees
With the nearest neighbours (Å) after each atom.
Space group P4/mmm (No. 123)
Asymmetric unit:
Ag1 0.0000 0.0000 0.0000  4 P 3.69, 8 Cl 3.74
Sb1 0.5000 0.5000 0.5000  4 Cl 2.61, 2 P 2.68
P1 0.5000 0.5000 0.0000  2 Sb 2.68
Cl1 0.0000 0.5000 0.5000  2 Sb 2.61

Output
Offset from the most stable computed form: 0.000 eV/atom
E_form (uncorrected): 0.275 eV per atom
Calculated volume: 29.1 Å³/atom
DOS(E_F): 2.00 states/eV/f.u.



Total magnetization per entry: 0.0, 0.0, 0.0, 0.7 μB/f.u.
Calculated total energy per entry: -17.1, -27.8, -17.1, -14.7 eV for the cell shown